# 1
Material: Cs2KZn
Method: DFT, PBE
State: optimized geometry

Calculated values
* polymorph energy (0 for the lowest one): 0.00 kcal/mol of atoms
* Fermi-level density of states: 0.893 states/eV per atom
* E_form: 0.1384 eV/atom

The structure in CIF format:
```
data_Cs2KZn
_chemical_formula_sum 'Cs6 K3 Zn3'
_symmetry_space_group_name_H-M 'R 3 m'
_symmetry_Int_Tables_number 160
_symmetry_space_group_name_Hall 'R 3 -2"'
_cell_length_a 5.1994
_cell_length_b 5.1994
_cell_length_c 38.2236
_cell_angle_alpha 90.00
_cell_angle_beta 90.00
_cell_angle_gamma 120.00
loop_
_atom_site_label
_atom_site_fract_x
_atom_site_fract_y
_atom_site_fract_z
_atom_site_occupancy
Cs1 0.0000 0.0000 0.0000 1
Cs2 0.0000 0.0000 0.2122 1
K1 0.0000 0.0000 0.4396 1
Zn1 0.0000 0.0000 0.6059 1
```

***

# 2
Material: Cs3KZn
Method: DFT, PBE
State: optimized geometry

Calculated values
* polymorph energy (0 for the lowest one): 5.85 kcal/mol of atoms
* Fermi-level density of states: 1.157 states/eV per atom
* E_form: 0.3538 eV/atom

The structure in CIF format:
```
data_Cs3KZn
_chemical_formula_sum 'Cs3 K1 Zn1'
_symmetry_space_group_name_H-M 'P m -3 m'
_symmetry_Int_Tables_number 221
_symmetry_space_group_name_Hall '-P 4 2 3'
_cell_length_a 8.661
_cell_length_b 8.661
_cell_length_c 8.661
_cell_angle_alpha 90.00
_cell_angle_beta 90.00
_cell_angle_gamma 90.00
loop_
_atom_site_label
_atom_site_fract_x
_atom_site_fract_y
_atom_site_fract_z
_atom_site_occupancy
Cs1 0.000 0.000 0.500 1
K1 0.000 0.000 0.000 1
Zn1 0.500 0.500 0.500 1
```